KPtCl2 at its PBEsol-relaxed geometry, computed with meta-GGA SCAN.

```
KPtCl2
1.0
-4.478 1.770 0.483
-3.221 -2.294 2.789
-1.388 1.955 4.203
Cl K Pt
2 1 1
Cartesian
-2.272 0.358 1.869
-6.815 1.073 5.606
0.000 0.000 0.000
-4.543 0.715 3.738
```

Calculated values
Crystal system ... cubic
Energy relative to the lowest polymorph listed for this composition ... 0.085 eV per atom

CrFeBr2 at its PBEsol-relaxed geometry, computed with meta-GGA SCAN.

```
CrFeBr2
1.0
-4.557 0.946 -1.300
-3.650 -1.234 2.916
-2.510 3.422 2.310
Cr Fe Br
1 1 2
Cartesian
-5.358 1.567 1.963
-2.679 0.783 0.982
0.000 0.000 0.000
-8.038 2.350 2.945
```

Calculated values
Crystal system ... cubic
Energy relative to the lowest polymorph listed for this composition ... 0.597 eV per atom

Y2NiTe at its PBEsol-relaxed geometry, computed with meta-GGA SCAN.

```
Y2NiTe
1.0
-3.255 2.036 -1.076
-3.548 -1.816 -0.089
-3.376 1.904 6.430
Y Te Ni
2 1 1
Cartesian
-7.681 1.669 4.233
-2.499 0.455 1.032
-5.090 1.062 2.633
0.000 0.000 0.000
```

Calculated values
Crystal system ... trigonal

La2Cu3 at its PBEsol-relaxed geometry, computed with meta-GGA SCAN.

```
La2Cu3
1.0
-2.076 -1.139 -3.767
-0.264 -4.279 -1.189
-6.159 -2.344 1.475
Cu La
3 2
Cartesian
-4.975 -5.681 -3.424
0.000 0.000 0.000
-3.523 -2.080 -0.057
-5.646 -4.020 -0.928
-2.853 -3.741 -2.552
```

Calculated values
Crystal system ... trigonal

Cs2Hg3I8 at its PBEsol-relaxed geometry, computed with meta-GGA SCAN.

```
Cs2Hg3I8
1.0
-1.285 -7.181 0.500
5.460 -3.312 4.212
-6.566 -1.903 9.256
Hg I Cs
3 8 2
Cartesian
-2.986 -5.890 4.265
5.415 -3.365 4.192
-3.673 -1.921 6.036
2.784 -8.197 5.890
-1.521 -10.744 11.708
-0.720 -6.086 5.771
3.477 -5.012 3.226
2.484 -4.550 7.544
0.837 -7.814 2.015
0.451 -7.745 9.908
-2.712 -9.292 8.072
-2.857 -5.505 8.903
0.602 -2.716 4.372
```

Calculated values
Crystal system ... monoclinic

BeCuBr at its PBEsol-relaxed geometry, computed with meta-GGA SCAN.

```
BeCuBr
1.0
2.728 0.000 0.000
0.000 3.178 0.000
-1.364 -1.589 5.720
Br Cu Be
1 1 1
Cartesian
0.000 0.000 3.681
1.364 1.589 0.532
0.000 0.000 1.508
```

Calculated values
Crystal system ... orthorhombic
Energy relative to the lowest polymorph listed for this composition ... 0.000 eV per atom

IrRuCl2 at its PBEsol-relaxed geometry, computed with meta-GGA SCAN.

```
IrRuCl2
1.0
2.926 0.000 0.000
1.463 2.534 0.000
1.463 0.845 8.186
Ru Cl Ir
1 2 1
Cartesian
2.926 1.689 4.093
4.389 2.534 2.261
1.463 0.845 5.925
0.000 0.000 0.000
```

Calculated values
Crystal system ... trigonal
Energy relative to the lowest polymorph listed for this composition ... 0.000 eV per atom

SrCoOs2 at its PBEsol-relaxed geometry, computed with meta-GGA SCAN.

```
SrCoOs2
1.0
-0.776 -0.401 2.597
-1.316 -2.300 0.697
7.684 -5.134 2.948
Sr Os Co
1 2 1
Cartesian
2.796 -3.918 3.121
4.558 -6.061 4.761
1.034 -1.775 1.480
0.000 0.000 0.000
```

Calculated values
Crystal system ... trigonal
Energy relative to the lowest polymorph listed for this composition ... 0.819 eV per atom

Ca7RhN6 at its PBEsol-relaxed geometry, computed with meta-GGA SCAN.

```
Ca7RhN6
1.0
6.287 0.000 0.000
3.143 8.383 0.010
3.143 0.389 8.374
N Ca Rh
12 14 2
Cartesian
4.379 3.637 1.604
8.195 1.767 3.561
8.195 8.023 5.795
3.820 7.188 1.260
8.195 5.135 6.780
4.379 0.749 2.588
5.610 3.192 5.442
6.964 5.581 2.942
4.379 7.006 4.823
10.665 6.153 7.752
1.908 2.620 0.631
8.754 1.584 7.124
5.476 5.488 0.753
3.955 1.492 4.935
7.696 4.010 4.586
4.552 0.766 7.980
8.021 8.007 0.404
7.098 1.001 5.449
4.878 4.762 3.798
7.098 3.284 7.631
6.287 6.579 6.288
2.332 4.998 1.267
10.242 3.775 7.117
6.287 2.193 2.096
8.619 7.281 3.449
5.476 7.771 2.935
3.143 2.193 2.096
9.430 6.579 6.288
```

Calculated values
Crystal system ... orthorhombic

KLiScSb2 at its PBEsol-relaxed geometry, computed with meta-GGA SCAN.

```
KLiScSb2
1.0
4.859 0.000 0.000
0.000 5.153 0.000
0.000 0.000 5.153
K Sb Sc Li
1 2 1 1
Cartesian
2.430 2.576 2.576
0.000 2.576 0.000
0.000 0.000 2.576
2.430 0.000 0.000
0.000 0.000 0.000
```

Calculated values
Crystal system ... tetragonal

KHgOs2 at its PBEsol-relaxed geometry, computed with meta-GGA SCAN.

```
KHgOs2
1.0
2.879 0.000 0.000
0.000 2.879 0.000
0.000 0.000 9.418
Os Hg K
2 1 1
Cartesian
1.440 1.440 2.074
0.000 0.000 0.559
0.000 0.000 4.279
1.440 1.440 7.214
```

Calculated values
Crystal system ... tetragonal

Cr3HgAu at its PBEsol-relaxed geometry, computed with meta-GGA SCAN.

```
Cr3HgAu
1.0
4.915 0.000 0.000
0.000 4.915 0.000
0.000 0.000 4.915
Cr Hg Au
3 1 1
Cartesian
2.457 0.000 0.000
0.000 0.000 2.457
0.000 2.457 0.000
2.457 2.457 2.457
0.000 0.000 0.000
```

Calculated values
Crystal system ... cubic

no.,final energy (eV for the cell shown)
1,-95.75
2,-72.46
3,-112.61
4,-132.38
5,-583.77
6,-38.36
7,-119.45
8,-179.46
9,-336.64
10,-99.61
11,-217.73
12,-188.32